[1]
## BaSi2Cl (PBE-GGA)

Data for a relaxed structure of BaSi2Cl.

The total energy comes out at -4.1396 eV/atom. As for the space group: No. 99. The total magnetization is 0.0 μB per cell. The formation energy without anion corrections is -0.49 eV per atom. As for the energy above the most stable polymorph in this dataset: 235 meV per atom.

a = 3.6232 Å, b = 3.6232 Å, c = 8.9020 Å
α = 90.00°, β = 90.00°, γ = 90.00°
Last column: nearest neighbours and their distance in Å.
Element x y z (fractional)
1 Ba 0.0000 0.0000 0.0000  4 Cl 3.04, 1 Si 3.22
2 Si 0.0000 0.0000 0.6379  4 Si 2.59
3 Si 0.5000 0.5000 0.6804  4 Si 2.59
4 Cl 0.5000 0.5000 0.1839  4 Ba 3.04

=====

[2]
## AcAuI4 (PBE-GGA)

Data for a relaxed structure of AcAuI4.

The total energy comes out at -3.2460 eV/atom. As for the space group: No. 14. The total magnetization is 0.0 μB per cell. The formation energy without anion corrections is -0.98 eV per atom.

a = 8.0723 Å, b = 4.7513 Å, c = 17.2037 Å
α = 90.00°, β = 114.82°, γ = 90.00°
Last column: nearest neighbours and their distance in Å.
Element x y z (fractional)
1 Ac 0.0000 0.0000 0.0000  6 I 3.27-3.36
2 Ac 0.0000 0.5000 0.5000  6 I 3.27-3.36
3 Au 0.5000 0.0000 0.5000  2 I 2.63
4 Au 0.5000 0.5000 0.0000  2 I 2.63
5 I 0.0040 0.0054 0.6332  2 Ac 3.27-3.31
6 I 0.0040 0.4946 0.1332  2 Ac 3.27-3.31
7 I 0.4477 0.6428 0.6045  1 Au 2.63
8 I 0.4477 0.8572 0.1045  1 Au 2.63
9 I 0.5523 0.1428 0.8955  1 Au 2.63
10 I 0.5523 0.3572 0.3955  1 Au 2.63
11 I 0.9960 0.5054 0.8668  2 Ac 3.27-3.31
12 I 0.9960 0.9946 0.3668  2 Ac 3.27-3.31

=====

[3]
## Na2Tl4SnPb2 (PBE-GGA)

Data for a relaxed structure of Na2Tl4SnPb2.

The energy of formation is -0.6 kcal/mol of atoms. The total energy comes out at -2.6393 eV/atom. As for the space group: No. 2. The total magnetization is 0.0 μB per cell.

a = 6.1752 Å, b = 6.6664 Å, c = 7.9626 Å
α = 88.54°, β = 69.95°, γ = 65.54°
Last column: nearest neighbours and their distance in Å.
Element x y z (fractional)
1 Na 0.0209 0.1636 0.3334  4 Tl 3.33-3.65, 3 Pb 3.37-3.62, 1 Na 3.40, 2 Sn 3.41-3.63
2 Na 0.9791 0.8364 0.6666  4 Tl 3.33-3.65, 3 Pb 3.37-3.62, 1 Na 3.40, 2 Sn 3.41-3.63
3 Tl 0.0619 0.6140 0.1637  3 Tl 3.18-3.50, 1 Na 3.33, 2 Pb 3.34-3.38, 1 Sn 3.52
4 Tl 0.4956 0.4037 0.7102  3 Tl 3.18-3.55, 1 Sn 3.19, 1 Pb 3.33, 2 Na 3.37-3.42
5 Tl 0.5044 0.5963 0.2898  3 Tl 3.18-3.55, 1 Sn 3.19, 1 Pb 3.33, 2 Na 3.37-3.42
6 Tl 0.9381 0.3860 0.8363  3 Tl 3.18-3.50, 1 Na 3.33, 2 Pb 3.34-3.38, 1 Sn 3.52
7 Sn 0.5000 0.0000 0.5000  2 Pb 3.19, 4 Tl 3.19-3.52, 2 Na 3.41
8 Pb 0.3538 0.8995 0.9070  1 Sn 3.19, 3 Tl 3.33-3.38, 1 Pb 3.34, 2 Na 3.37-3.52
9 Pb 0.6462 0.1005 0.0930  1 Sn 3.19, 3 Tl 3.33-3.38, 1 Pb 3.34, 2 Na 3.37-3.52

=====

[4]
## TlNiP2 (PBE-GGA)

Data for a relaxed structure of TlNiP2.

The energy of formation is 15.8 kcal/mol of atoms. The total energy comes out at -4.0562 eV/atom. As for the space group: No. 139. The total magnetization is 0.0 μB per cell. As for the energy above the most stable polymorph in this dataset: 805 meV per atom.

a = 5.0114 Å, b = 5.0114 Å, c = 5.0114 Å
α = 131.87°, β = 131.87°, γ = 70.44°
Last column: nearest neighbours and their distance in Å.
Element x y z (fractional)
1 Tl 0.0000 0.0000 0.0000  4 Ni 2.89, 8 P 2.89
2 Ni 0.5000 0.5000 0.0000  4 Tl 2.89, 8 P 2.89
3 P 0.2500 0.7500 0.5000  4 P 2.89, 4 Tl 2.89, 4 Ni 2.89
4 P 0.7500 0.2500 0.5000  4 P 2.89, 4 Tl 2.89, 4 Ni 2.89

=====

[5]
## Pr2GeP (PBE-GGA)

Data for a relaxed structure of Pr2GeP.

The energy of formation is -24.9 kcal/mol of atoms. The total energy comes out at -5.9768 eV/atom. As for the space group: No. 166. The total magnetization is 0.0 μB per cell. As for the energy above the most stable polymorph in this dataset: 103 meV per atom.

a = 7.6886 Å, b = 7.6886 Å, c = 7.6886 Å
α = 31.41°, β = 31.41°, γ = 31.41°
Last column: nearest neighbours and their distance in Å.
Element x y z (fractional)
1 Pr 0.2443 0.2443 0.2443  3 P 2.94, 3 Ge 3.09
2 Pr 0.7557 0.7557 0.7557  3 P 2.94, 3 Ge 3.09
3 Ge 0.0000 0.0000 0.0000  6 Pr 3.09
4 P 0.5000 0.5000 0.5000  6 Pr 2.94

=====

[6]
## Cu2Ag3Cl8 (PBE-GGA)

Data for a relaxed structure of Cu2Ag3Cl8.

The total energy comes out at -2.8413 eV/atom. As for the space group: No. 64. The total magnetization is 0.8 μB per cell. The formation energy without anion corrections is -0.42 eV per atom.

a = 8.5445 Å, b = 8.5445 Å, c = 10.2487 Å
α = 90.00°, β = 90.00°, γ = 124.78°
Last column: nearest neighbours and their distance in Å.
Element x y z (fractional)
1 Cu 0.1222 0.8778 0.8884  4 Cl 2.26-2.31
2 Cu 0.3778 0.6222 0.3884  4 Cl 2.26-2.31
3 Cu 0.6222 0.3778 0.6116  4 Cl 2.26-2.31
4 Cu 0.8778 0.1222 0.1116  4 Cl 2.26-2.31
5 Ag 0.0000 0.0000 0.5000  6 Cl 2.59-2.77
6 Ag 0.1122 0.3878 0.7500  4 Cl 2.55-2.67
7 Ag 0.3878 0.1122 0.2500  4 Cl 2.55-2.67
8 Ag 0.5000 0.5000 0.0000  6 Cl 2.59-2.77
9 Ag 0.6122 0.8878 0.7500  4 Cl 2.55-2.67
10 Ag 0.8878 0.6122 0.2500  4 Cl 2.55-2.67
11 Cl 0.9999 0.0001 0.2473  1 Cu 2.31, 1 Ag 2.59
12 Cl 0.0001 0.9999 0.7527  1 Cu 2.31, 1 Ag 2.59
13 Cl 0.1199 0.3686 0.9975  1 Cu 2.26
14 Cl 0.1314 0.3801 0.5025  1 Cu 2.26
15 Cl 0.2444 0.7556 0.7614  1 Cu 2.26
16 Cl 0.2556 0.7444 0.2614  1 Cu 2.26
17 Cl 0.3686 0.1199 0.0025  1 Cu 2.26
18 Cl 0.3801 0.1314 0.4975  1 Cu 2.26
19 Cl 0.4999 0.5001 0.2527  1 Cu 2.31, 1 Ag 2.59
20 Cl 0.5001 0.4999 0.7473  1 Cu 2.31, 1 Ag 2.59
21 Cl 0.6199 0.8686 0.5025  1 Cu 2.26
22 Cl 0.6314 0.8801 0.9975  1 Cu 2.26
23 Cl 0.7444 0.2556 0.7386  1 Cu 2.26
24 Cl 0.7556 0.2444 0.2386  1 Cu 2.26
25 Cl 0.8686 0.6199 0.4975  1 Cu 2.26
26 Cl 0.8801 0.6314 0.0025  1 Cu 2.26

=====

[7]
## PmPrPa (PBE-GGA)

Data for a relaxed structure of PmPrPa.

The energy of formation is 4.2 kcal/mol of atoms. The total energy comes out at -6.1586 eV/atom. As for the space group: No. 156. The total magnetization is 0.0 μB per cell. As for the energy above the most stable polymorph in this dataset: 0 meV per atom.

a = 3.4902 Å, b = 3.4902 Å, c = 8.8231 Å
α = 90.00°, β = 90.00°, γ = 120.00°
Last column: nearest neighbours and their distance in Å.
Element x y z (fractional)
1 Pm 0.0000 0.0000 0.0000  3 Pa 3.41, 6 Pm 3.49
2 Pr 0.6667 0.3333 0.3720  3 Pa 3.44, 6 Pr 3.49, 3 Pm 3.85
3 Pa 0.3333 0.6667 0.6884  3 Pm 3.41, 3 Pr 3.44, 6 Pa 3.49

=====

[8]
## Na2Hg2Sb (PBE-GGA)

Data for a relaxed structure of Na2Hg2Sb.

The total energy comes out at -1.7128 eV/atom. As for the space group: No. 12. The total magnetization is 0.0 μB per cell. The formation energy without anion corrections is -0.24 eV per atom. As for the energy above the most stable polymorph in this dataset: 4 meV per atom.

a = 6.1490 Å, b = 6.1490 Å, c = 11.1940 Å
α = 108.33°, β = 108.33°, γ = 45.33°
Last column: nearest neighbours and their distance in Å.
Element x y z (fractional)
1 Na 0.0324 0.0324 0.3502  7 Hg 3.23-3.53, 3 Sb 3.31-3.39
2 Na 0.1831 0.1831 0.0968  3 Hg 3.07-3.37, 2 Sb 3.29
3 Na 0.8169 0.8169 0.9032  3 Hg 3.07-3.37, 2 Sb 3.29
4 Na 0.9676 0.9676 0.6498  7 Hg 3.23-3.53, 3 Sb 3.31-3.39
5 Hg 0.3629 0.3629 0.4452  1 Hg 2.93, 3 Sb 2.93-3.24, 2 Na 3.23
6 Hg 0.4603 0.4603 0.1177  1 Hg 3.06, 5 Na 3.07-3.41, 1 Sb 3.09
7 Hg 0.5397 0.5397 0.8823  1 Hg 3.06, 5 Na 3.07-3.41, 1 Sb 3.09
8 Hg 0.6371 0.6371 0.5548  1 Hg 2.93, 3 Sb 2.93-3.24, 2 Na 3.23
9 Sb 0.2703 0.2703 0.6884  4 Hg 2.93-3.24
10 Sb 0.7297 0.7297 0.3116  4 Hg 2.93-3.24

=====

[9]
## BaCa2Cd2 (PBE-GGA)

Data for a relaxed structure of BaCa2Cd2.

The energy of formation is -5.4 kcal/mol of atoms. The total energy comes out at -1.7859 eV/atom. As for the space group: No. 127. The total magnetization is 0.0 μB per cell. As for the energy above the most stable polymorph in this dataset: 3 meV per atom.

a = 9.0355 Å, b = 9.0355 Å, c = 4.3643 Å
α = 90.00°, β = 90.00°, γ = 90.00°
Last column: nearest neighbours and their distance in Å.
Element x y z (fractional)
1 Ba 0.0000 0.0000 0.0000  4 Cd 3.58
2 Ba 0.5000 0.5000 0.0000  4 Cd 3.58
3 Ca 0.1615 0.3385 0.5000  6 Cd 3.40-3.50
4 Ca 0.3385 0.8385 0.5000  6 Cd 3.40-3.50
5 Ca 0.6615 0.1615 0.5000  6 Cd 3.40-3.50
6 Ca 0.8385 0.6615 0.5000  6 Cd 3.40-3.50
7 Cd 0.1242 0.6242 0.0000  1 Cd 3.17, 6 Ca 3.40-3.50
8 Cd 0.3758 0.1242 0.0000  1 Cd 3.17, 6 Ca 3.40-3.50
9 Cd 0.6242 0.8758 0.0000  1 Cd 3.17, 6 Ca 3.40-3.50
10 Cd 0.8758 0.3758 0.0000  1 Cd 3.17, 6 Ca 3.40-3.50

=====

[10]
## TaMnTe (PBE-GGA)

Data for a relaxed structure of TaMnTe.

The total energy comes out at -7.8099 eV/atom. As for the space group: No. 107. The total magnetization is 3.4 μB per cell. The formation energy without anion corrections is 0.24 eV per atom. As for the energy above the most stable polymorph in this dataset: 315 meV per atom.

a = 5.1328 Å, b = 5.1328 Å, c = 5.1328 Å
α = 140.37°, β = 140.37°, γ = 57.29°
Last column: nearest neighbours and their distance in Å.
Element x y z (fractional)
1 Ta 0.0000 0.0000 0.0000  5 Mn 2.84-3.08, 5 Te 2.91-2.95
2 Mn 0.3419 0.3419 0.0000  5 Ta 2.84-3.08, 5 Te 2.89-2.98
3 Te 0.6726 0.6726 0.0000  5 Mn 2.89-2.98, 5 Ta 2.91-2.95

=====

[11]
## AcLa2RuO8 (PBE-GGA)

Data for a relaxed structure of AcLa2RuO8.

The total energy comes out at -7.5676 eV/atom. As for the space group: No. 2. The total magnetization is 1.0 μB per cell. The formation energy without anion corrections is -2.33 eV per atom.

a = 4.7396 Å, b = 5.4678 Å, c = 7.2723 Å
α = 93.94°, β = 91.39°, γ = 90.90°
Last column: nearest neighbours and their distance in Å.
Element x y z (fractional)
1 Ac 0.0000 0.0000 0.0000  6 O 2.42-2.61
2 La 0.4516 0.4590 0.7454  5 O 2.27-2.51
3 La 0.5484 0.5410 0.2546  5 O 2.27-2.51
4 Ru 0.0000 0.0000 0.5000  6 O 1.86-2.03
5 O 0.0846 0.7514 0.2900  1 Ru 2.03
6 O 0.1693 0.8149 0.6866  1 Ru 1.92
7 O 0.3264 0.1831 0.4689  1 Ru 1.86
8 O 0.4147 0.2660 0.0103  2 La 2.27-2.32, 1 Ac 2.42
9 O 0.5853 0.7340 0.9897  2 La 2.27-2.32, 1 Ac 2.42
10 O 0.6736 0.8169 0.5311  1 Ru 1.86
11 O 0.8307 0.1851 0.3134  1 Ru 1.92
12 O 0.9154 0.2486 0.7100  1 Ru 2.03

=====

[12]
## TaSnMoRu (PBE-GGA)

Data for a relaxed structure of TaSnMoRu.

The energy of formation is -2.6 kcal/mol of atoms. The total energy comes out at -9.1032 eV/atom. As for the space group: No. 216. The total magnetization is 0.0 μB per cell.

a = 4.5693 Å, b = 4.5693 Å, c = 4.5693 Å
α = 60.00°, β = 60.00°, γ = 60.00°
Last column: nearest neighbours and their distance in Å.
Element x y z (fractional)
1 Ta 0.0000 0.0000 0.0000  4 Mo 2.80, 4 Ru 2.80
2 Sn 0.5000 0.5000 0.5000  4 Mo 2.80, 4 Ru 2.80
3 Mo 0.7500 0.7500 0.7500  4 Ta 2.80, 4 Sn 2.80
4 Ru 0.2500 0.2500 0.2500  4 Ta 2.80, 4 Sn 2.80